# FeH4Cl2O2

A relaxed FeH4Cl2O2 crystal (PBE with a Hubbard U, Alexandria via LeMat-Bulk).

Geometry as POSCAR:
```
FeH4Cl2O2
1.0
-5.560 0.249 -1.550
1.973 -0.973 -5.342
-0.701 -3.651 -0.218
H O Cl Fe
4 2 2 1
Cartesian
-4.120 -3.295 -3.544
-1.304 -3.752 -4.962
-2.984 -0.624 -2.148
-0.168 -1.080 -3.566
0.130 -0.674 -4.415
-3.718 -0.050 -2.478
-3.181 -2.749 -5.434
-1.108 -1.627 -1.676
0.000 0.000 0.000
```

Computed properties:
Raw total energy, eV for the cell shown: -42.436
Total magnetic moment, μB/cell: 4.011